Hf2CBr: optimized geometry, GGA-PBE.

Structure (extended XYZ):
```
8
Lattice="-4.113 3.726 0.769 -0.917 -2.069 5.125 1.025 4.314 4.988" Properties=species:S:1:pos:R:3 pbc="T T T"
C -2.515 0.828 2.947
C -1.203 1.537 6.530
Hf -2.063 2.817 2.300
Hf -1.197 0.583 4.615
Hf -1.199 3.673 6.407
Hf -3.550 4.869 8.442
Br 0.000 0.000 0.000
Br -2.801 4.434 4.352
```

Values from the calculation:
E	-62.661	eV/cell
magnetic moment	0.0	μB per formula unit